Entry 1:
{"formula": "ErZr2Zn4", "functional": "PBE-GGA", "state": "relaxed", "delta_e_f_ev_per_atom": -0.058, "lattice_angstrom": [[-2.183, 2.183, 7.805], [2.183, -2.183, 7.805], [2.183, 2.183, -7.805]], "species": ["Er", "Zr", "Zr", "Zn", "Zn", "Zn", "Zn"], "frac_coords": [[0.000, 0.000, 0.000], [0.254, 0.254, 0.000], [0.746, 0.746, 0.000], [0.127, 0.627, 0.500], [0.373, 0.873, 0.500], [0.627, 0.127, 0.500], [0.873, 0.373, 0.500]]}

=====

Entry 2:
{"formula": "Er2Zr", "functional": "PBE-GGA", "state": "relaxed", "de_polymorph_mev_per_atom": 5, "delta_e_f_ev_per_atom": 0.066, "lattice_angstrom": [[-1.692, 1.692, 7.264], [1.692, -1.692, 7.264], [1.692, 1.692, -7.264]], "species": ["Er", "Er", "Zr"], "frac_coords": [[0.157, 0.157, 0.000], [0.843, 0.843, 0.000], [0.500, 0.500, 0.000]]}